No. 1
Material: Li2GeF6
Method: DFT, PBE
State: relaxed

As for the uncorrected formation energy: -2.734 eV per atom. As for the calculated total energy: -132.82 eV for the cell shown. The spin magnetization comes out at 0.0 μB/f.u. The space group is P321 (150). The calculation puts the calculated volume at 296 Å³ per cell.

Cell and atoms, written as POSCAR:
```
Li2GeF6
1.0
8.5474 0.0000 0.0000
-4.2737 7.4022 0.0000
0.0000 0.0000 4.6846
F Li Ge
18 6 3
Cartesian
-0.0546 1.5141 1.0269
5.6163 1.7634 1.3661
-2.9351 6.6925 1.0269
7.2635 0.8044 3.6576
4.2191 5.8882 3.6576
-0.0616 3.4201 3.3184
-1.2810 5.7455 3.3184
4.2121 3.9822 1.3661
1.3426 5.6389 3.3184
2.9898 6.5979 1.0269
4.4002 0.9595 3.4343
0.1265 6.4427 1.2503
1.2426 4.0713 1.2503
-1.3691 4.2904 1.2503
2.9927 1.6567 1.3661
1.3385 0.7097 3.6576
5.5163 3.3309 3.4343
2.9046 3.1118 3.4343
1.2691 2.1982 2.3423
6.0092 0.0000 2.3423
-1.5637 2.7085 0.0000
2.7099 4.6938 0.0000
-3.0046 5.2041 2.3423
3.1275 0.0000 0.0000
4.2737 2.4674 2.3997
0.0000 0.0000 0.0000
0.0000 4.9348 2.2848
```

=====

No. 2
Material: Li2NbZn
Method: DFT, PBE
State: relaxed

As for the calculated total energy: -14.35 eV for the cell shown. The spin magnetization comes out at 0.0 μB/f.u. The space group is R-3m (166). The calculation puts the calculated volume at 68 Å³ per cell. The energy relative to the elements is 206 meV/atom.

Cell and atoms, written as POSCAR:
```
Li2NbZn
1.0
2.7663 0.0000 0.0000
1.3831 2.3957 0.0000
1.3831 0.7986 10.2641
Nb Zn Li
1 1 2
Cartesian
0.0000 0.0000 0.0000
2.7663 1.5971 5.1320
1.3831 0.7986 7.4541
4.1494 2.3957 2.8100
```

=====

No. 3
Material: KHo4S6
Method: DFT, PBE
State: relaxed

As for the uncorrected formation energy: -1.954 eV per atom. As for the calculated total energy: -131.34 eV for the cell shown. The spin magnetization comes out at 0.0 μB/f.u. The space group is Cmcm (63). The calculation puts the calculated volume at 536 Å³ per cell.

Cell and atoms, written as POSCAR:
```
KHo4S6
1.0
3.9314 0.0000 0.0000
-1.9657 6.5489 0.0000
0.0000 0.0000 20.8025
Ho S K
8 12 2
Cartesian
0.0000 5.2392 7.6128
0.0000 1.7190 9.5377
1.9657 1.3096 13.1896
1.9657 4.8298 11.2648
0.0000 1.7190 0.8636
0.0000 5.2392 2.7884
1.9657 1.3096 18.0141
1.9657 4.8298 19.9389
0.0000 2.9920 12.0442
1.9657 6.0916 13.5687
1.9657 0.0000 0.0000
1.9657 3.5568 8.7583
0.0000 0.4572 7.2338
0.0000 2.9920 19.1595
1.9657 0.0000 10.4012
0.0000 4.3850 5.2006
1.9657 6.0916 17.6350
1.9657 2.1639 15.6018
0.0000 0.4572 3.1675
1.9657 3.5568 1.6430
0.0000 4.5618 15.6018
1.9657 1.9871 5.2006
```

=====

Which formula does entry 3 have?
KHo4S6